Material: NaCdSnCl6
Method: DFT, GGA-PBE
State: optimized geometry

Computed properties:
space group = P312
calculated total energy = -3.026 eV/atom
Fermi-level density of states = 3.28 states/eV/f.u.
E_form (uncorrected) = -1.10 eV per atom

Cell: 6.007 6.755 6.755 Å, 120.00 90.00 90.00°
Atoms (fractional coordinates):
Sn 0.000 0.333 0.667
Cd 0.500 0.000 0.000
Cl 0.752 0.666 0.680
Cl 0.752 0.014 0.334
Cl 0.248 0.014 0.680
Cl 0.248 0.320 0.334
Cl 0.248 0.666 0.986
Cl 0.752 0.320 0.986
Na 0.500 0.667 0.333